# 1
# KZrZn2F8 | the Alexandria database | GGA-PBE | optimized geometry
data_KZrZn2F8
_cell_length_a 8.748
_cell_length_b 8.748
_cell_length_c 8.748
_cell_angle_alpha 35.40
_cell_angle_beta 35.40
_cell_angle_gamma 35.40
_space_group_name_H-M_alt 'P 1'
_space_group_IT_number 1
loop_
_space_group_symop_operation_xyz
'x,y,z'
loop_
_atom_site_label
_atom_site_type_symbol
_atom_site_fract_x
_atom_site_fract_y
_atom_site_fract_z
K1 K 0.000 0.000 0.000
Zr1 Zr 0.500 0.500 0.500
Zn1 Zn 0.256 0.256 0.256
Zn2 Zn 0.744 0.744 0.744
F1 F 0.129 0.459 0.759
F2 F 0.241 0.871 0.541
F3 F 0.333 0.333 0.333
F4 F 0.459 0.759 0.129
F5 F 0.541 0.241 0.871
F6 F 0.667 0.667 0.667
F7 F 0.759 0.129 0.459
F8 F 0.871 0.541 0.241
# Fermi-level density of states   4.35 states/eV per cell
# Size of the total moment   0.0458 μB per atom
# Electronic total energy   -58.88 eV per cell

=====

# 2
# KZr3F | the Alexandria database | GGA-PBE | optimized geometry
data_KZr3F
_cell_length_a 5.028
_cell_length_b 5.028
_cell_length_c 5.028
_cell_angle_alpha 90.00
_cell_angle_beta 90.00
_cell_angle_gamma 90.00
_space_group_name_H-M_alt 'P 1'
_space_group_IT_number 1
loop_
_space_group_symop_operation_xyz
'x,y,z'
loop_
_atom_site_label
_atom_site_type_symbol
_atom_site_fract_x
_atom_site_fract_y
_atom_site_fract_z
K1 K 0.000 0.000 0.000
Zr1 Zr 0.000 0.000 0.500
Zr2 Zr 0.000 0.500 0.000
Zr3 Zr 0.500 0.000 0.000
F1 F 0.500 0.500 0.500
# Fermi-level density of states   5.56 states/eV per cell
# Size of the total moment   0.0000 μB per atom
# Electronic total energy   -19.00 eV per cell

=====

# 3
# KZrF4 | the Alexandria database | GGA-PBE | optimized geometry
data_KZrF4
_cell_length_a 6.099
_cell_length_b 6.099
_cell_length_c 6.099
_cell_angle_alpha 94.40
_cell_angle_beta 94.40
_cell_angle_gamma 147.82
_space_group_name_H-M_alt 'P 1'
_space_group_IT_number 1
loop_
_space_group_symop_operation_xyz
'x,y,z'
loop_
_atom_site_label
_atom_site_type_symbol
_atom_site_fract_x
_atom_site_fract_y
_atom_site_fract_z
K1 K 0.000 0.000 0.000
Zr1 Zr 0.750 0.250 0.500
F1 F 0.161 0.430 0.734
F2 F 0.570 0.304 0.731
F3 F 0.573 0.839 0.269
F4 F 0.696 0.427 0.266
# Fermi-level density of states   1.15 states/eV per cell
# Size of the total moment   0.0833 μB per atom
# Electronic total energy   -36.00 eV per cell

=====

# 4
# KZrF3 | the Alexandria database | GGA-PBE | optimized geometry
data_KZrF3
_cell_length_a 4.598
_cell_length_b 4.598
_cell_length_c 4.598
_cell_angle_alpha 90.00
_cell_angle_beta 90.00
_cell_angle_gamma 90.00
_space_group_name_H-M_alt 'P 1'
_space_group_IT_number 1
loop_
_space_group_symop_operation_xyz
'x,y,z'
loop_
_atom_site_label
_atom_site_type_symbol
_atom_site_fract_x
_atom_site_fract_y
_atom_site_fract_z
K1 K 0.000 0.000 0.000
Zr1 Zr 0.500 0.500 0.500
F1 F 0.000 0.000 0.500
F2 F 0.000 0.500 0.000
F3 F 0.500 0.000 0.000
# Fermi-level density of states   1.48 states/eV per cell
# Size of the total moment   0.4000 μB per atom
# Electronic total energy   -22.30 eV per cell

=====

# 5
# KZr2F8 | the Alexandria database | GGA-PBE | optimized geometry
data_KZr2F8
_cell_length_a 6.166
_cell_length_b 6.166
_cell_length_c 4.224
_cell_angle_alpha 95.34
_cell_angle_beta 95.34
_cell_angle_gamma 113.04
_space_group_name_H-M_alt 'P 1'
_space_group_IT_number 1
loop_
_space_group_symop_operation_xyz
'x,y,z'
loop_
_atom_site_label
_atom_site_type_symbol
_atom_site_fract_x
_atom_site_fract_y
_atom_site_fract_z
K1 K 0.000 0.000 0.000
Zr1 Zr 0.321 0.679 0.500
Zr2 Zr 0.679 0.321 0.500
F1 F 0.045 0.334 0.564
F2 F 0.269 0.731 0.000
F3 F 0.334 0.045 0.564
F4 F 0.407 0.407 0.238
F5 F 0.593 0.593 0.762
F6 F 0.666 0.955 0.436
F7 F 0.731 0.269 0.000
F8 F 0.955 0.666 0.436
# Fermi-level density of states   2.77 states/eV per cell
# Size of the total moment   0.0909 μB per atom
# Electronic total energy   -71.07 eV per cell

=====

# 6
# KZrF3 | the Alexandria database | GGA-PBE | optimized geometry
data_KZrF3
_cell_length_a 4.483
_cell_length_b 4.483
_cell_length_c 4.483
_cell_angle_alpha 90.00
_cell_angle_beta 90.00
_cell_angle_gamma 90.00
_space_group_name_H-M_alt 'P 1'
_space_group_IT_number 1
loop_
_space_group_symop_operation_xyz
'x,y,z'
loop_
_atom_site_label
_atom_site_type_symbol
_atom_site_fract_x
_atom_site_fract_y
_atom_site_fract_z
K1 K 0.000 0.000 0.000
Zr1 Zr 0.500 0.500 0.500
F1 F 0.000 0.500 0.500
F2 F 0.500 0.000 0.500
F3 F 0.500 0.500 0.000
# Fermi-level density of states   4.83 states/eV per cell
# Size of the total moment   0.3696 μB per atom
# Electronic total energy   -28.06 eV per cell